Record 1
DFT (PBEsol) results for a geometry-optimized AgAu2 structure.

Unit cell a=5.3718 b=5.3718 c=5.3718 alpha=60.00 beta=60.00 gamma=60.00
Sites, in units of the cell vectors:
Ag (0.1250, 0.1250, 0.1250)
Ag (0.8750, 0.8750, 0.8750)
Au (0.0000, 0.5000, 0.5000)
Au (0.5000, 0.0000, 0.5000)
Au (0.5000, 0.5000, 0.0000)
Au (0.5000, 0.5000, 0.5000)

## Properties
formation enthalpy at 0 K	0.10	eV per atom

***

Record 2
DFT (PBEsol) results for a geometry-optimized Te2WBr structure.

Unit cell a=3.4297 b=4.9445 c=5.0003 alpha=90.00 beta=90.00 gamma=90.00
Sites, in units of the cell vectors:
Te (0.0000, 0.0000, 0.0000)
Te (0.5000, 0.0000, 0.5000)
W (0.0000, 0.5000, 0.5000)
Br (0.5000, 0.5000, 0.0000)

## Properties
ΔE_f (raw)	1057	meV/atom

***

Record 3
DFT (PBEsol) results for a geometry-optimized SbMo2S structure.

Unit cell a=4.4659 b=4.4659 c=4.4659 alpha=60.00 beta=60.00 gamma=60.00
Sites, in units of the cell vectors:
Sb (0.0000, 0.0000, 0.0000)
Mo (0.2500, 0.2500, 0.2500)
Mo (0.7500, 0.7500, 0.7500)
S (0.5000, 0.5000, 0.5000)

## Properties
ΔE_f (raw)	183	meV/atom

***

| no. | E (eV per cell) | total moment (μB per formula unit) |
| --- | --- | --- |
| 1 | -21.737 | 0.00 |
| 2 | -18.502 | 0.00 |
| 3 | -31.746 | 0.00 |